Entry 1:
Below is Mn4Sb3 after structural relaxation, with properties calculated at the GGA-PBEsol level.

a b c (Å): 3.319 3.319 11.366
angles (deg): 98.39 98.39 90.00
Site moments in Bohr magnetons follow the coordinates.
Fractional positions:
Sb (0.000, 0.000, 0.000)  -0.10
Sb (0.317, 0.317, 0.635)  -0.07
Sb (0.683, 0.683, 0.365)  -0.07
Mn (0.122, 0.122, 0.244)  2.84
Mn (0.878, 0.878, 0.756)  2.84
Mn (0.562, 0.562, 0.124)  2.77
Mn (0.438, 0.438, 0.876)  2.77

Calculated volume, Å³ per cell: 122.5
Raw formation energy, eV per atom: 0.1971
N(E_F), states/eV/atom: 0.74

=====

Entry 2:
Below is MnSb3 after structural relaxation, with properties calculated at the GGA-PBEsol level.

a b c (Å): 3.321 3.321 9.482
angles (deg): 79.91 79.91 60.00
Site moments in Bohr magnetons follow the coordinates.
Fractional positions:
Sb (0.732, 0.732, 0.806)  -0.07
Sb (0.268, 0.268, 0.194)  -0.07
Sb (0.500, 0.500, 0.500)  -0.02
Mn (0.000, 0.000, 0.000)  2.31

Calculated volume, Å³ per cell: 88.7
Raw formation energy, eV per atom: 0.1875
N(E_F), states/eV/atom: 0.62

=====

Entry 3:
Below is MnSb2 after structural relaxation, with properties calculated at the GGA-PBEsol level.

a b c (Å): 3.498 3.498 5.906
angles (deg): 90.00 90.00 120.00
Site moments in Bohr magnetons follow the coordinates.
Fractional positions:
Mn (0.000, 0.000, 0.000)  2.33
Sb (0.667, 0.333, 0.718)  -0.10
Sb (0.333, 0.667, 0.282)  -0.10

Calculated volume, Å³ per cell: 62.6
Raw formation energy, eV per atom: 0.1333
N(E_F), states/eV/atom: 0.54

=====

Entry 4:
Below is MnSb3 after structural relaxation, with properties calculated at the GGA-PBEsol level.

a b c (Å): 3.294 3.295 8.000
angles (deg): 90.00 90.05 90.00
Site moments in Bohr magnetons follow the coordinates.
Fractional positions:
Mn (0.000, 0.000, 0.000)  2.54
Sb (0.499, 0.500, 0.807)  -0.08
Sb (0.000, 0.000, 0.500)  0.00
Sb (0.501, 0.500, 0.193)  -0.08

Calculated volume, Å³ per cell: 86.8
Raw formation energy, eV per atom: 0.2061
N(E_F), states/eV/atom: 0.69

=====

Entry 5:
Below is ScMnSb2 after structural relaxation, with properties calculated at the GGA-PBEsol level.

a b c (Å): 3.705 3.705 6.102
angles (deg): 90.00 90.00 90.00
Site moments in Bohr magnetons follow the coordinates.
Fractional positions:
Sc (0.500, 0.500, 0.000)  0.07
Sb (0.000, 0.000, 0.257)  -0.03
Sb (0.000, 0.000, 0.743)  -0.03
Mn (0.500, 0.500, 0.500)  3.71

Calculated volume, Å³ per cell: 83.8
Raw formation energy, eV per atom: -0.1560
N(E_F), states/eV/atom: 0.63

=====

Entry 6:
Below is ScMnSb after structural relaxation, with properties calculated at the GGA-PBEsol level.

a b c (Å): 3.436 3.436 5.338
angles (deg): 108.78 108.78 90.00
Site moments in Bohr magnetons follow the coordinates.
Fractional positions:
Sb (0.350, 0.350, 0.700)  -0.05
Sc (0.660, 0.660, 0.320)  -0.21
Mn (0.990, 0.990, 0.980)  3.03

Calculated volume, Å³ per cell: 56.1
Raw formation energy, eV per atom: -0.1719
N(E_F), states/eV/atom: 0.64

=====

Entry 7:
Below is ScMn2Sb after structural relaxation, with properties calculated at the GGA-PBEsol level.

a b c (Å): 4.104 4.104 4.657
angles (deg): 116.14 116.14 90.00
Site moments in Bohr magnetons follow the coordinates.
Fractional positions:
Sb (0.500, 0.500, 0.000)  -0.06
Mn (0.250, 0.750, 0.500)  2.11
Mn (0.750, 0.250, 0.500)  2.11
Sc (0.000, 0.000, 0.000)  -0.25

Calculated volume, Å³ per cell: 61.3
Raw formation energy, eV per atom: -0.0575
N(E_F), states/eV/atom: 0.80

=====

Entry 8:
Below is ScMnSb2 after structural relaxation, with properties calculated at the GGA-PBEsol level.

a b c (Å): 3.286 3.952 6.575
angles (deg): 90.00 103.27 90.00
Site moments in Bohr magnetons follow the coordinates.
Fractional positions:
Mn (0.000, 0.500, 0.500)  3.40
Sb (0.809, 0.000, 0.742)  -0.03
Sb (0.191, 0.000, 0.258)  -0.03
Sc (0.500, 0.500, 0.000)  -0.04

Calculated volume, Å³ per cell: 83.1
Raw formation energy, eV per atom: -0.1756
N(E_F), states/eV/atom: 0.74

=====

Entry 9:
Below is ScMnSb2 after structural relaxation, with properties calculated at the GGA-PBEsol level.

a b c (Å): 3.907 4.208 5.764
angles (deg): 111.41 109.81 90.00
Site moments in Bohr magnetons follow the coordinates.
Fractional positions:
Sb (0.742, 0.242, 0.483)  -0.03
Sb (0.984, 0.984, 0.967)  -0.03
Sc (0.504, 0.504, 0.009)  -0.03
Mn (0.270, 0.770, 0.541)  3.52

Calculated volume, Å³ per cell: 82.2
Raw formation energy, eV per atom: -0.2328
N(E_F), states/eV/atom: 0.74

=====

Entry 10:
Below is ScMn2Sb after structural relaxation, with properties calculated at the GGA-PBEsol level.

a b c (Å): 3.319 3.319 5.841
angles (deg): 90.00 90.00 90.00
Site moments in Bohr magnetons follow the coordinates.
Fractional positions:
Mn (0.000, 0.000, 0.230)  2.27
Mn (0.000, 0.000, 0.770)  2.27
Sc (0.500, 0.500, 0.500)  -0.34
Sb (0.500, 0.500, 0.000)  -0.11

Calculated volume, Å³ per cell: 64.3
Raw formation energy, eV per atom: 0.0534
N(E_F), states/eV/atom: 1.08

=====

Entry 11:
Below is Sc2MnSb after structural relaxation, with properties calculated at the GGA-PBEsol level.

a b c (Å): 3.193 3.193 7.487
angles (deg): 90.00 90.00 90.00
Fractional positions:
Sc (0.000, 0.000, 0.971)
Sc (0.500, 0.500, 0.308)
Sb (0.500, 0.500, 0.698)
Mn (0.000, 0.000, 0.523)

Calculated volume, Å³ per cell: 76.3
Raw formation energy, eV per atom: -0.0919
N(E_F), states/eV/atom: 1.16

=====

Entry 12:
Below is ScMnSb after structural relaxation, with properties calculated at the GGA-PBEsol level.

a b c (Å): 3.271 3.271 6.164
angles (deg): 90.00 90.00 120.00
Site moments in Bohr magnetons follow the coordinates.
Fractional positions:
Sb (0.333, 0.667, 0.703)  -0.08
Sc (0.667, 0.333, 0.306)  -0.32
Mn (0.000, 0.000, 0.991)  1.81

Calculated volume, Å³ per cell: 57.1
Raw formation energy, eV per atom: 0.0652
N(E_F), states/eV/atom: 0.40

=====

Entry 13:
Below is Sc2MnSb after structural relaxation, with properties calculated at the GGA-PBEsol level.

a b c (Å): 3.569 3.569 6.108
angles (deg): 90.00 90.00 90.00
Site moments in Bohr magnetons follow the coordinates.
Fractional positions:
Sb (0.500, 0.500, 0.500)  0.01
Mn (0.500, 0.500, 0.000)  2.95
Sc (0.000, 0.000, 0.760)  -0.30
Sc (0.000, 0.000, 0.240)  -0.30

Calculated volume, Å³ per cell: 77.8
Raw formation energy, eV per atom: -0.3214
N(E_F), states/eV/atom: 1.03

=====

Entry 14:
Below is MnSbSe2 after structural relaxation, with properties calculated at the GGA-PBEsol level.

a b c (Å): 3.424 3.749 7.118
angles (deg): 105.27 103.92 90.00
Site moments in Bohr magnetons follow the coordinates.
Fractional positions:
Mn (0.462, 0.462, 0.923)  3.88
Se (0.029, 0.029, 0.058)  0.04
Se (0.818, 0.318, 0.636)  0.00
Sb (0.192, 0.692, 0.383)  0.03

Calculated volume, Å³ per cell: 85.4
Raw formation energy, eV per atom: -0.0357
N(E_F), states/eV/atom: 0.46

=====

Entry 15:
Below is MnSbSe2 after structural relaxation, with properties calculated at the GGA-PBEsol level.

a b c (Å): 3.426 3.426 8.711
angles (deg): 78.66 78.66 60.00
Site moments in Bohr magnetons follow the coordinates.
Fractional positions:
Mn (0.000, 0.000, 0.000)  2.45
Sb (0.500, 0.500, 0.500)  -0.01
Se (0.388, 0.388, 0.836)  -0.02
Se (0.612, 0.612, 0.164)  -0.02

Calculated volume, Å³ per cell: 86.2
Raw formation energy, eV per atom: -0.2330
N(E_F), states/eV/atom: 0.66

=====

Entry 16:
Below is Mn2SbSe after structural relaxation, with properties calculated at the GGA-PBEsol level.

a b c (Å): 3.320 3.320 6.159
angles (deg): 90.00 90.00 90.00
Site moments in Bohr magnetons follow the coordinates.
Fractional positions:
Mn (0.000, 0.000, 0.988)  2.86
Mn (0.500, 0.500, 0.232)  2.46
Sb (0.000, 0.000, 0.434)  -0.09
Se (0.500, 0.500, 0.846)  -0.05

Calculated volume, Å³ per cell: 67.9
Raw formation energy, eV per atom: -0.0493
N(E_F), states/eV/atom: 0.63

=====

Entry 17:
Below is Mn2SbSe after structural relaxation, with properties calculated at the GGA-PBEsol level.

a b c (Å): 3.710 3.710 6.696
angles (deg): 73.92 73.92 60.00
Site moments in Bohr magnetons follow the coordinates.
Fractional positions:
Mn (0.258, 0.258, 0.227)  3.74
Mn (0.742, 0.742, 0.773)  3.74
Se (0.000, 0.000, 0.000)  0.08
Sb (0.500, 0.500, 0.500)  -0.11

Calculated volume, Å³ per cell: 75.6
Raw formation energy, eV per atom: 0.0229
N(E_F), states/eV/atom: 0.59

=====

Entry 18:
Below is MnSbSe2 after structural relaxation, with properties calculated at the GGA-PBEsol level.

a b c (Å): 7.175 6.120 7.175
angles (deg): 54.11 90.00 125.89
Site moments in Bohr magnetons follow the coordinates.
Fractional positions:
Se (0.375, 0.250, 0.168)  -0.01
Se (0.582, 0.750, 0.375)  -0.01
Se (0.875, 0.250, 0.582)  -0.01
Se (0.168, 0.750, 0.875)  -0.01
Sb (0.750, 0.500, 0.750)  -0.03
Sb (0.000, 0.000, 0.000)  -0.03
Mn (0.500, 0.000, 0.500)  3.84
Mn (0.250, 0.500, 0.250)  3.84

Calculated volume, Å³ per cell: 176.2
Raw formation energy, eV per atom: -0.0067
N(E_F), states/eV/atom: 0.40

=====

Entry 19:
Below is MnSbSe2 after structural relaxation, with properties calculated at the GGA-PBEsol level.

a b c (Å): 3.749 5.952 8.693
angles (deg): 107.09 90.00 90.00
Site moments in Bohr magnetons follow the coordinates.
Fractional positions:
Se (0.250, 0.987, 0.176)  -0.04
Se (0.250, 0.529, 0.849)  -0.05
Se (0.750, 0.471, 0.151)  -0.05
Se (0.750, 0.013, 0.824)  -0.04
Sb (0.250, 0.328, 0.519)  0.01
Sb (0.750, 0.672, 0.481)  0.01
Mn (0.750, 0.772, 0.006)  3.13
Mn (0.250, 0.228, 0.994)  3.13

Calculated volume, Å³ per cell: 185.4
Raw formation energy, eV per atom: -0.2344
N(E_F), states/eV/atom: 0.59

=====

Entry 20:
Below is Mn2SbSe after structural relaxation, with properties calculated at the GGA-PBEsol level.

a b c (Å): 3.043 4.303 4.303
angles (deg): 90.00 90.00 90.00
Fractional positions:
Mn (0.000, 0.500, 0.000)
Mn (0.000, 0.000, 0.500)
Se (0.500, 0.000, 0.000)
Sb (0.500, 0.500, 0.500)

Calculated volume, Å³ per cell: 56.4
Raw formation energy, eV per atom: 0.3294
N(E_F), states/eV/atom: 0.78

=====

Entry 21:
Below is MnSb2TeSe after structural relaxation, with properties calculated at the GGA-PBEsol level.

a b c (Å): 4.871 4.932 4.932
angles (deg): 90.00 90.00 90.00
Site moments in Bohr magnetons follow the coordinates.
Fractional positions:
Mn (0.000, 0.000, 0.000)  1.54
Se (0.500, 0.500, 0.500)  -0.11
Te (0.500, 0.000, 0.000)  0.08
Sb (0.000, 0.000, 0.500)  -0.01
Sb (0.000, 0.500, 0.000)  -0.01

Calculated volume, Å³ per cell: 118.5
Raw formation energy, eV per atom: 0.3263
N(E_F), states/eV/atom: 0.88

=====

Entry 22:
Below is TaMn2SiSb after structural relaxation, with properties calculated at the GGA-PBEsol level.

a b c (Å): 4.680 4.680 5.111
angles (deg): 90.00 90.00 90.00
Site moments in Bohr magnetons follow the coordinates.
Fractional positions:
Ta (0.000, 0.000, 0.500)  -0.42
Sb (0.000, 0.000, 0.000)  -0.06
Mn (0.500, 0.000, 0.000)  3.43
Mn (0.000, 0.500, 0.000)  3.43
Si (0.500, 0.500, 0.500)  -0.02

Calculated volume, Å³ per cell: 112.0
Raw formation energy, eV per atom: 1.6100
N(E_F), states/eV/atom: 1.12

=====

Entry 23:
Below is SrMnSb2 after structural relaxation, with properties calculated at the GGA-PBEsol level.

a b c (Å): 3.518 4.057 7.397
angles (deg): 90.00 100.30 90.00
Site moments in Bohr magnetons follow the coordinates.
Fractional positions:
Mn (0.000, 0.500, 0.500)  3.55
Sb (0.851, 0.000, 0.713)  -0.06
Sb (0.149, 0.000, 0.287)  -0.06
Sr (0.500, 0.500, 0.000)  0.00

Calculated volume, Å³ per cell: 103.9
Raw formation energy, eV per atom: -0.1805
N(E_F), states/eV/atom: 0.41

=====

Entry 24:
Below is SrMnSb2 after structural relaxation, with properties calculated at the GGA-PBEsol level.

a b c (Å): 3.549 3.895 8.000
angles (deg): 104.09 102.82 90.00
Site moments in Bohr magnetons follow the coordinates.
Fractional positions:
Sr (0.554, 0.554, 0.109)  0.00
Sb (0.731, 0.231, 0.462)  -0.11
Sb (0.922, 0.922, 0.845)  -0.10
Mn (0.292, 0.792, 0.585)  3.15

Calculated volume, Å³ per cell: 104.4
Raw formation energy, eV per atom: -0.1692
N(E_F), states/eV/atom: 0.51

=====

Entry 25:
Below is Sr2MnSb after structural relaxation, with properties calculated at the GGA-PBEsol level.

a b c (Å): 3.882 4.303 7.272
angles (deg): 90.00 90.00 90.00
Site moments in Bohr magnetons follow the coordinates.
Fractional positions:
Mn (0.500, 0.500, 0.000)  4.13
Sr (0.000, 0.000, 0.743)  -0.02
Sr (0.000, 0.000, 0.257)  -0.02
Sb (0.500, 0.500, 0.500)  0.03

Calculated volume, Å³ per cell: 121.5
Raw formation energy, eV per atom: -0.0545
N(E_F), states/eV/atom: 0.53

=====

Entry 26:
Below is SrMnSb2 after structural relaxation, with properties calculated at the GGA-PBEsol level.

a b c (Å): 5.239 5.239 5.239
angles (deg): 60.00 60.00 60.00
Site moments in Bohr magnetons follow the coordinates.
Fractional positions:
Sb (0.750, 0.750, 0.750)  -0.11
Sb (0.250, 0.250, 0.250)  -0.11
Sr (0.500, 0.500, 0.500)  -0.01
Mn (0.000, 0.000, 0.000)  3.93

Calculated volume, Å³ per cell: 101.7
Raw formation energy, eV per atom: -0.0214
N(E_F), states/eV/atom: 0.66

=====

Entry 27:
Below is SrMnSb2 after structural relaxation, with properties calculated at the GGA-PBEsol level.

a b c (Å): 5.267 5.267 5.267
angles (deg): 60.00 60.00 60.00
Site moments in Bohr magnetons follow the coordinates.
Fractional positions:
Mn (0.500, 0.500, 0.500)  3.93
Sb (0.000, 0.000, 0.000)  -0.05
Sb (0.750, 0.750, 0.750)  -0.08
Sr (0.250, 0.250, 0.250)  -0.01

Calculated volume, Å³ per cell: 103.3
Raw formation energy, eV per atom: 0.1817
N(E_F), states/eV/atom: 0.85

=====

Entry 28:
Below is SrMnSb after structural relaxation, with properties calculated at the GGA-PBEsol level.

a b c (Å): 3.698 3.698 6.272
angles (deg): 107.14 107.14 90.00
Site moments in Bohr magnetons follow the coordinates.
Fractional positions:
Mn (0.045, 0.045, 0.090)  3.50
Sb (0.623, 0.623, 0.247)  -0.09
Sr (0.332, 0.332, 0.664)  -0.04

Calculated volume, Å³ per cell: 77.9
Raw formation energy, eV per atom: 0.0348
N(E_F), states/eV/atom: 1.38

=====

Entry 29:
Below is Ta2MnSb after structural relaxation, with properties calculated at the GGA-PBEsol level.

a b c (Å): 3.178 3.178 6.562
angles (deg): 90.00 90.00 90.02
Site moments in Bohr magnetons follow the coordinates.
Fractional positions:
Mn (0.000, 0.000, 0.514)  0.06
Sb (0.500, 0.500, 0.272)  0.00
Ta (0.500, 0.500, 0.717)  -0.01
Ta (0.000, 0.000, 0.997)  0.01

Calculated volume, Å³ per cell: 66.3
Raw formation energy, eV per atom: 0.1561
N(E_F), states/eV/atom: 1.28

=====

Entry 30:
Below is Ta3MnSb after structural relaxation, with properties calculated at the GGA-PBEsol level.

a b c (Å): 4.946 4.946 4.946
angles (deg): 90.00 90.00 90.00
Site moments in Bohr magnetons follow the coordinates.
Fractional positions:
Ta (0.000, 0.500, 0.000)  -0.26
Ta (0.500, 0.000, 0.000)  -0.26
Ta (0.000, 0.000, 0.500)  -0.26
Mn (0.500, 0.500, 0.500)  4.12
Sb (0.000, 0.000, 0.000)  -0.01

Calculated volume, Å³ per cell: 121.0
Raw formation energy, eV per atom: 2.0942
N(E_F), states/eV/atom: 1.01